1.
Density functional theory data (GGA-PBE) for Pu2TiIn after structural relaxation.

## Properties
* E: -9.690 eV per atom
* offset from the most stable computed form: 0.1326 eV per atom
* formation energy from the elements: 0.1342 eV/atom
* crystal system: tetragonal

a = 3.982 Å, b = 3.982 Å, c = 6.079 Å
α = 90.00°, β = 90.00°, γ = 90.00°
Space group P4/mmm (No. 123)
One atom of each set of equivalent atoms:
Pu  0.000  0.000  0.246 (multiplicity 2)
Ti  0.500  0.500  0.000 (multiplicity 1)
In  0.500  0.500  0.500 (multiplicity 1)


2.
Density functional theory data (GGA-PBE) for Tb2Nd4Ho2Er after structural relaxation.

## Properties
* E: -4.651 eV per atom
* formation energy from the elements: 0.0208 eV/atom
* crystal system: monoclinic

a = 15.297 Å, b = 5.093 Å, c = 8.036 Å
α = 90.00°, β = 108.51°, γ = 90.00°
Space group C2/m (No. 12)
One atom of each set of equivalent atoms:
Tb  0.111  0.000  0.170 (multiplicity 4)
Nd  0.054  0.500  0.831 (multiplicity 4)
Nd  0.222  0.000  0.831 (multiplicity 4)
Ho  0.167  0.500  0.500 (multiplicity 4)
Er  0.000  0.000  0.500 (multiplicity 2)


3.
Density functional theory data (GGA-PBE) for HoTm3Zn2 after structural relaxation.

## Properties
* E: -3.651 eV per atom
* offset from the most stable computed form: 0.0099 eV per atom
* formation energy from the elements: -0.2274 eV/atom
* crystal system: tetragonal

a = 3.520 Å, b = 3.520 Å, c = 12.026 Å
α = 90.00°, β = 90.00°, γ = 90.00°
Space group P4/mmm (No. 123)
One atom of each set of equivalent atoms:
Ho  0.000  0.000  0.000 (multiplicity 1)
Tm  0.500  0.500  0.209 (multiplicity 2)
Tm  0.500  0.500  0.500 (multiplicity 1)
Zn  0.000  0.000  0.355 (multiplicity 2)


4.
Density functional theory data (GGA-PBE) for ReAsOs after structural relaxation.

## Properties
* E: -9.051 eV per atom
* offset from the most stable computed form: 0.1198 eV per atom
* formation energy from the elements: 0.3915 eV/atom
* crystal system: trigonal

a = 4.2444 Å, b = 4.2444 Å, c = 2.8629 Å
α = 90.00°, β = 90.00°, γ = 120.00°
Space group P3m1 (No. 156)
One atom of each set of equivalent atoms:
Re  0.0000  0.0000  0.0000 (multiplicity 1)
As  0.6667  0.3333  0.2371 (multiplicity 1)
Os  0.3333  0.6667  0.4951 (multiplicity 1)


5.
Density functional theory data (GGA-PBE) for AgAsPSe2 after structural relaxation.

## Properties
* E: -3.381 eV per atom
* offset from the most stable computed form: 0.0000 eV per atom
* crystal system: tetragonal

a = 4.972 Å, b = 4.972 Å, c = 4.652 Å
α = 90.00°, β = 90.00°, γ = 90.00°
Space group P4/mmm (No. 123)
One atom of each set of equivalent atoms:
Ag  0.000  0.000  0.000 (multiplicity 1)
As  0.500  0.500  0.000 (multiplicity 1)
P  0.500  0.500  0.500 (multiplicity 1)
Se  0.000  0.500  0.500 (multiplicity 2)


6.
Density functional theory data (GGA-PBE) for Sm2ZnAg6 after structural relaxation.

## Properties
* E: -3.271 eV per atom
* formation energy from the elements: -0.1804 eV/atom
* crystal system: trigonal

a = 6.1586 Å, b = 6.1586 Å, c = 5.8132 Å
α = 90.00°, β = 90.00°, γ = 120.00°
Space group P-3m1 (No. 164)
One atom of each set of equivalent atoms:
Sm  0.3333  0.6667  0.3421 (multiplicity 2)
Zn  0.0000  0.0000  0.5000 (multiplicity 1)
Ag  0.1783  0.3566  0.8192 (multiplicity 6)


7.
Density functional theory data (GGA-PBE) for Co3ReSi after structural relaxation.

## Properties
* E: -6.910 eV per atom
* offset from the most stable computed form: 0.0000 eV per atom
* crystal system: cubic

a = 4.094 Å, b = 4.094 Å, c = 4.094 Å
α = 90.00°, β = 90.00°, γ = 90.00°
Space group Pm-3m (No. 221)
One atom of each set of equivalent atoms:
Co  0.000  0.000  0.500 (multiplicity 3)
Re  0.500  0.500  0.500 (multiplicity 1)
Si  0.000  0.000  0.000 (multiplicity 1)


8.
Density functional theory data (GGA-PBE) for Ta2AsOs after structural relaxation.

## Properties
* E: -9.976 eV per atom
* formation energy from the elements: -0.0796 eV/atom
* crystal system: orthorhombic

a = 2.937 Å, b = 4.093 Å, c = 5.434 Å
α = 90.00°, β = 90.00°, γ = 90.00°
Space group Pmmm (No. 47)
One atom of each set of equivalent atoms:
Ta  0.000  0.000  0.246 (multiplicity 2)
As  0.500  0.500  0.500 (multiplicity 1)
Os  0.500  0.500  0.000 (multiplicity 1)


9.
Density functional theory data (GGA-PBE) for Sm3YBi2 after structural relaxation.

## Properties
* E: -5.373 eV per atom
* offset from the most stable computed form: 0.0000 eV per atom
* formation energy from the elements: -0.6422 eV/atom
* crystal system: tetragonal

a = 4.617 Å, b = 4.617 Å, c = 8.826 Å
α = 90.00°, β = 90.00°, γ = 90.00°
Space group P-4m2 (No. 115)
One atom of each set of equivalent atoms:
Sm  0.000  0.000  0.000 (multiplicity 1)
Sm  0.000  0.500  0.650 (multiplicity 2)
Y  0.500  0.500  0.000 (multiplicity 1)
Bi  0.000  0.500  0.280 (multiplicity 2)


10.
Density functional theory data (GGA-PBE) for NaMnAg2I6 after structural relaxation.

## Properties
* E: -2.977 eV per atom
* crystal system: monoclinic

a = 16.383 Å, b = 14.179 Å, c = 8.398 Å
α = 90.00°, β = 117.14°, γ = 90.00°
Space group C2/c (No. 15)
One atom of each set of equivalent atoms:
Na  0.000  0.235  0.250 (multiplicity 4)
Mn  0.000  0.317  0.750 (multiplicity 4)
Ag  0.200  0.065  0.199 (multiplicity 8)
I  0.103  0.385  0.613 (multiplicity 8)
I  0.130  0.256  0.053 (multiplicity 8)
I  0.161  0.092  0.486 (multiplicity 8)


11.
Density functional theory data (GGA-PBE) for LaOs2Pb after structural relaxation.

## Properties
* E: -6.927 eV per atom
* formation energy from the elements: 0.8467 eV/atom
* crystal system: cubic

a = 6.956 Å, b = 6.956 Å, c = 6.956 Å
α = 90.00°, β = 90.00°, γ = 90.00°
Space group F-43m (No. 216)
One atom of each set of equivalent atoms:
La  0.000  0.000  0.000 (multiplicity 4)
Os  0.000  0.000  0.500 (multiplicity 4)
Os  0.250  0.250  0.250 (multiplicity 4)
Pb  0.250  0.250  0.750 (multiplicity 4)


12.
Density functional theory data (GGA-PBE) for Ba2Zn3Ge4Pb after structural relaxation.

## Properties
* E: -3.276 eV per atom
* formation energy from the elements: -0.2912 eV/atom
* crystal system: tetragonal

a = 4.758 Å, b = 4.758 Å, c = 10.810 Å
α = 90.00°, β = 90.00°, γ = 90.00°
Space group P-4m2 (No. 115)
One atom of each set of equivalent atoms:
Ba  0.000  0.500  0.235 (multiplicity 2)
Zn  0.000  0.500  0.885 (multiplicity 2)
Zn  0.500  0.500  0.500 (multiplicity 1)
Ge  0.000  0.000  0.000 (multiplicity 1)
Ge  0.000  0.500  0.645 (multiplicity 2)
Ge  0.500  0.500  0.000 (multiplicity 1)
Pb  0.000  0.000  0.500 (multiplicity 1)


13.
Density functional theory data (GGA-PBE) for Tb2EuGa after structural relaxation.

## Properties
* E: -5.878 eV per atom
* offset from the most stable computed form: 0.0000 eV per atom
* formation energy from the elements: -0.2371 eV/atom
* crystal system: tetragonal

a = 3.574 Å, b = 3.574 Å, c = 9.315 Å
α = 90.00°, β = 90.00°, γ = 90.00°
Space group P4/mmm (No. 123)
One atom of each set of equivalent atoms:
Tb  0.000  0.000  0.194 (multiplicity 2)
Eu  0.500  0.500  0.500 (multiplicity 1)
Ga  0.500  0.500  0.000 (multiplicity 1)


14.
Density functional theory data (GGA-PBE) for AlFeCl2 after structural relaxation.

## Properties
* E: -3.896 eV per atom
* offset from the most stable computed form: 0.5529 eV per atom
* crystal system: orthorhombic

a = 3.107 Å, b = 4.179 Å, c = 5.780 Å
α = 90.00°, β = 90.00°, γ = 90.00°
Space group Pmmm (No. 47)
One atom of each set of equivalent atoms:
Al  0.000  0.000  0.000 (multiplicity 1)
Fe  0.500  0.000  0.500 (multiplicity 1)
Cl  0.000  0.500  0.500 (multiplicity 1)
Cl  0.500  0.500  0.000 (multiplicity 1)


15.
Density functional theory data (GGA-PBE) for NdAl4Bi after structural relaxation.

## Properties
* E: -4.108 eV per atom
* formation energy from the elements: -0.1711 eV/atom
* crystal system: cubic

a = 8.046 Å, b = 8.046 Å, c = 8.046 Å
α = 90.00°, β = 90.00°, γ = 90.00°
Space group F-43m (No. 216)
One atom of each set of equivalent atoms:
Nd  0.000  0.000  0.000 (multiplicity 4)
Al  0.125  0.125  0.375 (multiplicity 16)
Bi  0.250  0.250  0.750 (multiplicity 4)


16.
Density functional theory data (GGA-PBE) for ScCuCl after structural relaxation.

## Properties
* E: -4.685 eV per atom
* offset from the most stable computed form: 0.0549 eV per atom
* crystal system: tetragonal

a = 3.155 Å, b = 3.155 Å, c = 12.938 Å
α = 90.00°, β = 90.00°, γ = 90.00°
Space group I4mm (No. 107)
One atom of each set of equivalent atoms:
Sc  0.000  0.000  0.000 (multiplicity 2)
Cu  0.000  0.000  0.630 (multiplicity 2)
Cl  0.000  0.000  0.380 (multiplicity 2)


17.
Density functional theory data (GGA-PBE) for Sr2Ni4SnAs3 after structural relaxation.

## Properties
* E: -5.021 eV per atom
* formation energy from the elements: -0.5770 eV/atom
* crystal system: tetragonal

a = 4.280 Å, b = 4.280 Å, c = 10.045 Å
α = 90.00°, β = 90.00°, γ = 90.00°
Space group P-4m2 (No. 115)
One atom of each set of equivalent atoms:
Sr  0.000  0.500  0.237 (multiplicity 2)
Ni  0.000  0.000  0.000 (multiplicity 1)
Ni  0.000  0.500  0.638 (multiplicity 2)
Ni  0.500  0.500  0.000 (multiplicity 1)
Sn  0.000  0.000  0.500 (multiplicity 1)
As  0.000  0.500  0.879 (multiplicity 2)
As  0.500  0.500  0.500 (multiplicity 1)


18.
Density functional theory data (GGA-PBE) for Na2Re2C after structural relaxation.

## Properties
* E: -5.136 eV per atom
* offset from the most stable computed form: 0.5368 eV per atom
* formation energy from the elements: 2.2155 eV/atom
* crystal system: tetragonal

a = 5.562 Å, b = 5.562 Å, c = 5.104 Å
α = 90.00°, β = 90.00°, γ = 90.00°
Space group P4/mbm (No. 127)
One atom of each set of equivalent atoms:
Na  0.139  0.361  0.000 (multiplicity 4)
Re  0.155  0.655  0.500 (multiplicity 4)
C  0.000  0.000  0.000 (multiplicity 2)


19.
Density functional theory data (GGA-PBE) for AcPr2Br after structural relaxation.

## Properties
* E: -4.426 eV per atom
* offset from the most stable computed form: 0.0000 eV per atom
* crystal system: trigonal

a = 3.8736 Å, b = 3.8736 Å, c = 32.0496 Å
α = 90.00°, β = 90.00°, γ = 120.00°
Space group R-3m (No. 166, hexagonal axes)
One atom of each set of equivalent atoms:
Ac  0.0000  0.0000  0.0000 (multiplicity 3)
Pr  0.0000  0.0000  0.2400 (multiplicity 6)
Br  0.0000  0.0000  0.5000 (multiplicity 3)


20.
Density functional theory data (GGA-PBE) for YEr2Al9 after structural relaxation.

## Properties
* E: -4.524 eV per atom
* offset from the most stable computed form: 0.0074 eV per atom
* formation energy from the elements: -0.4184 eV/atom
* crystal system: tetragonal

a = 4.244 Å, b = 4.244 Å, c = 12.728 Å
α = 90.00°, β = 90.00°, γ = 90.00°
Space group P4/mmm (No. 123)
One atom of each set of equivalent atoms:
Y  0.000  0.000  0.000 (multiplicity 1)
Er  0.000  0.000  0.334 (multiplicity 2)
Al  0.000  0.500  0.168 (multiplicity 4)
Al  0.000  0.500  0.500 (multiplicity 2)
Al  0.500  0.500  0.000 (multiplicity 1)
Al  0.500  0.500  0.334 (multiplicity 2)


21.
Density functional theory data (GGA-PBE) for GeTeRu after structural relaxation.

## Properties
* E: -5.733 eV per atom
* crystal system: monoclinic

a = 6.115 Å, b = 3.662 Å, c = 6.162 Å
α = 90.00°, β = 93.08°, γ = 90.00°
Space group Pm (No. 6)
One atom of each set of equivalent atoms:
Ge  0.000  0.000  0.000 (multiplicity 1)
Ge  0.410  0.000  0.354 (multiplicity 1)
Te  0.358  0.500  0.863 (multiplicity 1)
Te  0.826  0.500  0.506 (multiplicity 1)
Ru  0.119  0.000  0.621 (multiplicity 1)
Ru  0.145  0.500  0.243 (multiplicity 1)


22.
Density functional theory data (GGA-PBE) for Sm2Tm2Hg after structural relaxation.

## Properties
* E: -3.916 eV per atom
* offset from the most stable computed form: 0.0000 eV per atom
* formation energy from the elements: -0.1794 eV/atom
* crystal system: tetragonal

a = 3.572 Å, b = 3.572 Å, c = 23.132 Å
α = 90.00°, β = 90.00°, γ = 90.00°
Space group I4/mmm (No. 139)
One atom of each set of equivalent atoms:
Sm  0.000  0.000  0.194 (multiplicity 4)
Tm  0.000  0.000  0.415 (multiplicity 4)
Hg  0.000  0.000  0.000 (multiplicity 2)


23.
Density functional theory data (GGA-PBE) for LiIn2ReH after structural relaxation.

## Properties
* E: -4.282 eV per atom
* crystal system: tetragonal

a = 4.731 Å, b = 4.731 Å, c = 3.481 Å
α = 90.00°, β = 90.00°, γ = 90.00°
Space group P4/mmm (No. 123)
One atom of each set of equivalent atoms:
Li  0.000  0.000  0.000 (multiplicity 1)
In  0.000  0.500  0.500 (multiplicity 2)
Re  0.500  0.500  0.000 (multiplicity 1)
H  0.500  0.500  0.500 (multiplicity 1)


24.
Density functional theory data (GGA-PBE) for K2TaMnMo after structural relaxation.

## Properties
* E: -4.229 eV per atom
* formation energy from the elements: 2.5803 eV/atom
* crystal system: tetragonal

a = 6.392 Å, b = 6.392 Å, c = 4.113 Å
α = 90.00°, β = 90.00°, γ = 90.00°
Space group P4/mmm (No. 123)
One atom of each set of equivalent atoms:
K  0.000  0.500  0.000 (multiplicity 2)
Ta  0.000  0.000  0.500 (multiplicity 1)
Mn  0.500  0.500  0.500 (multiplicity 1)
Mo  0.500  0.500  0.000 (multiplicity 1)


25.
Density functional theory data (GGA-PBE) for ScCdIr after structural relaxation.

## Properties
* E: -5.870 eV per atom
* formation energy from the elements: -0.5012 eV/atom
* crystal system: orthorhombic

a = 3.181 Å, b = 3.706 Å, c = 9.360 Å
α = 90.00°, β = 90.00°, γ = 90.00°
Space group Imm2 (No. 44)
One atom of each set of equivalent atoms:
Sc  0.000  0.000  0.000 (multiplicity 2)
Cd  0.000  0.000  0.691 (multiplicity 2)
Ir  0.000  0.000  0.367 (multiplicity 2)


26.
Density functional theory data (GGA-PBE) for CaNb2Re after structural relaxation.

## Properties
* E: -8.190 eV per atom
* offset from the most stable computed form: 0.0000 eV per atom
* formation energy from the elements: 0.4573 eV/atom
* crystal system: cubic

a = 6.676 Å, b = 6.676 Å, c = 6.676 Å
α = 90.00°, β = 90.00°, γ = 90.00°
Space group Fm-3m (No. 225)
One atom of each set of equivalent atoms:
Ca  0.000  0.000  0.000 (multiplicity 4)
Nb  0.250  0.250  0.250 (multiplicity 8)
Re  0.000  0.000  0.500 (multiplicity 4)


27.
Density functional theory data (GGA-PBE) for CrS2 after structural relaxation.

## Properties
* E: -6.456 eV per atom
* crystal system: trigonal

a = 3.0615 Å, b = 3.0615 Å, c = 21.1267 Å
α = 90.00°, β = 90.00°, γ = 120.00°
Space group R-3m (No. 166, hexagonal axes)
One atom of each set of equivalent atoms:
Cr  0.0000  0.0000  0.0000 (multiplicity 3)
S  0.0000  0.0000  0.4032 (multiplicity 6)